No. 1
Crystalline RbLiMnI4 at its relaxed geometry, computed with PBE.

## Properties
Crystal system   tetragonal
Space-group type   I-4
Fermi-level density of states   0.0 states/eV/cell
Uncorrected formation energy   -0.955 eV/atom

The structure in POSCAR format:
```
RbLiMnI4
1.0
7.956 0.000 0.000
0.000 7.956 0.000
-3.978 -3.978 5.445
Rb Li Mn I
1 1 1 4
Direct
0.000 0.000 0.000
0.500 0.500 0.000
0.250 0.750 0.500
0.199 0.118 0.727
0.391 0.801 0.273
0.529 0.609 0.727
0.882 0.471 0.273
```



No. 2
Crystalline Cu2MoSe at its relaxed geometry, computed with PBE.

## Properties
Crystal system   monoclinic
Space-group type   P2/m
Fermi-level density of states   2.4 states/eV/cell
Uncorrected formation energy   0.376 eV/atom

The structure in POSCAR format:
```
Cu2MoSe
1.0
4.422 0.000 0.000
0.000 2.786 -0.060
0.000 1.432 4.747
Cu Mo Se
2 1 1
Direct
0.000 0.858 0.000
0.000 0.642 0.500
0.500 0.250 0.250
0.500 0.750 0.750
```



No. 3
Crystalline RePtS2 at its relaxed geometry, computed with PBE.

## Properties
Crystal system   tetragonal
Space-group type   I-42d
Fermi-level density of states   6.5 states/eV/cell
Energy above the most stable polymorph in this dataset   0.75 eV/f.u.
Uncorrected formation energy   0.095 eV/atom

The structure in POSCAR format:
```
RePtS2
1.0
5.433 0.000 0.000
0.000 5.433 0.000
2.717 2.717 5.160
Re S Pt
2 4 2
Direct
0.500 0.500 0.000
0.250 0.750 0.500
0.608 0.125 0.250
0.142 0.625 0.250
0.375 0.392 0.750
0.875 0.858 0.750
0.000 0.000 0.000
0.750 0.250 0.500
```



No. 4
Crystalline Li2GaAsH at its relaxed geometry, computed with PBE.

## Properties
Crystal system   tetragonal
Space-group type   P4/mmm
Energy   -3.312 eV/atom
Fermi-level density of states   0.3 states/eV/cell

The structure in POSCAR format:
```
Li2GaAsH
1.0
-2.486 -3.029 -0.234
2.629 -1.992 -2.129
1.694 -1.673 3.658
H As Ga Li
1 1 1 2
Direct
0.000 0.000 0.000
0.500 0.500 0.500
0.000 0.000 0.500
0.000 0.500 0.000
0.500 0.000 0.000
```



No. 5
Crystalline SrAlSbSe2 at its relaxed geometry, computed with PBE.

## Properties
Crystal system   tetragonal
Space-group type   P4/mmm
Fermi-level density of states   3.8 states/eV/cell
Uncorrected formation energy   -0.091 eV/atom

The structure in POSCAR format:
```
SrAlSbSe2
1.0
4.842 0.000 0.000
0.000 7.052 0.000
0.000 0.000 4.842
Sb Al Se Sr
1 1 2 1
Direct
0.500 0.500 0.500
0.000 0.000 0.000
0.000 0.000 0.500
0.500 0.000 0.000
0.000 0.500 0.000
```



No. 6
Crystalline TbPmO3 at its relaxed geometry, computed with PBE.

## Properties
Crystal system   trigonal
Space-group type   R32
Fermi-level density of states   0.0 states/eV/cell
Uncorrected formation energy   -3.314 eV/atom

The structure in POSCAR format:
```
TbPmO3
1.0
5.746 0.000 0.000
2.873 4.976 0.000
2.873 1.659 5.564
Tb Pm O
2 2 6
Direct
0.352 0.352 0.944
0.648 0.648 0.056
0.144 0.144 0.569
0.856 0.856 0.431
0.262 0.954 0.247
0.954 0.537 0.247
0.537 0.262 0.247
0.738 0.463 0.753
0.046 0.738 0.753
0.463 0.046 0.753
```



How do the records compare in M_tot? In the order shown, they have 5.00; 0.00; 0.00; 0.00; 0.67; 0.00 μB/f.u..
How do the records compare in ρ? In the order shown, they have 3.16; 8.52; 9.71; 3.94; 3.96; 7.35 g/cm3.